The following is a DFT calculation (PBE) of an optimized crystal structure of ScIn6Cu6.

The electronic total energy comes out at -48.70 eV/f.u. Its density of states at the Fermi level is 3.19 states/eV/cell. The magnetic moment comes out at 0.0 μB per formula unit.

extended XYZ file:
```
13
Lattice="-2.7320 4.5768 4.5857 2.7320 -4.5768 4.5857 2.7320 4.5768 -4.5857" Properties=species:S:1:pos:R:3 pbc="T T T"
Sc 0.0000 0.0000 0.0000
In 2.7320 0.0000 1.5951
In 0.0000 3.0582 0.0000
In 0.0000 0.0000 3.0917
In 0.0000 0.0000 6.0797
In 0.0000 6.0953 0.0000
In 0.0000 4.5768 2.9905
Cu 1.3660 2.2884 -2.2928
Cu 1.3660 -2.2884 2.2928
Cu 2.7320 2.2161 0.0000
Cu -1.3660 2.2884 2.2928
Cu 1.3660 2.2884 2.2928
Cu 0.0000 2.3606 4.5857
```

***

The following is a DFT calculation (PBE) of an optimized crystal structure of ErScAgRu.

The electronic total energy comes out at -24.60 eV/f.u. Its density of states at the Fermi level is 1.90 states/eV/cell. As for the energy above the most stable polymorph in this dataset: 0.081 eV per atom. The magnetic moment comes out at 0.0 μB per formula unit.

extended XYZ file:
```
4
Lattice="0.0000 3.3967 3.3967 3.3967 0.0000 3.3967 3.3967 3.3967 0.0000" Properties=species:S:1:pos:R:3 pbc="T T T"
Er 0.0000 0.0000 0.0000
Sc 3.3967 3.3967 3.3967
Ag 5.0951 5.0951 5.0951
Ru 1.6984 1.6984 1.6984
```

***

The following is a DFT calculation (PBE) of an optimized crystal structure of SmDy2Zn2Ga2.

The electronic total energy comes out at -25.36 eV/f.u. Its density of states at the Fermi level is 3.38 states/eV/cell. The magnetic moment comes out at 0.0 μB per formula unit.

extended XYZ file:
```
7
Lattice="2.2302 1.2876 9.2256 -2.2302 1.2876 9.2256 0.0000 -2.5752 9.2256" Properties=species:S:1:pos:R:3 pbc="T T T"
Sm 0.0000 0.0000 0.0000
Dy 0.0000 0.0000 3.5278
Dy 0.0000 0.0000 24.1491
Zn 0.0000 0.0000 11.0987
Zn 0.0000 0.0000 16.5782
Ga 0.0000 0.0000 7.2035
Ga 0.0000 0.0000 20.4733
```

***

The following is a DFT calculation (PBE) of an optimized crystal structure of Ho3Cr5Te12.

The electronic total energy comes out at -108.69 eV/f.u. Its density of states at the Fermi level is 43.02 states/eV/cell. The formation energy without anion corrections is -457 meV per atom. The magnetic moment comes out at 15.0 μB per formula unit.

extended XYZ file:
```
80
Lattice="-8.4428 8.4428 8.4428 8.4428 -8.4428 8.4428 8.4428 8.4428 -8.4428" Properties=species:S:1:pos:R:3 pbc="T T T"
Ho 4.2214 2.1107 0.0000
Ho 8.4428 4.2214 -2.1107
Ho 2.1107 0.0000 4.2214
Ho 10.5535 0.0000 4.2214
Ho 0.0000 4.2214 2.1107
Ho 4.2214 -2.1107 8.4428
Ho 4.2214 10.5535 0.0000
Ho 8.4428 4.2214 6.3321
Ho -2.1107 8.4428 4.2214
Ho 6.3321 8.4428 4.2214
Ho 0.0000 4.2214 10.5535
Ho 4.2214 6.3321 8.4428
Cr 0.0000 0.0000 0.0000
Cr 4.2214 4.2214 -4.2214
Cr 4.2214 -4.2214 4.2214
Cr 8.4428 0.0000 0.0000
Cr 12.6642 2.1107 0.0000
Cr 8.4428 -4.2214 6.3321
Cr 6.3321 8.4428 -4.2214
Cr 6.3321 0.0000 4.2214
Cr 4.2214 6.3321 0.0000
Cr 8.4428 4.2214 2.1107
Cr -4.2214 4.2214 4.2214
Cr 0.0000 8.4428 0.0000
Cr 0.0000 0.0000 8.4428
Cr 4.2214 4.2214 4.2214
Cr 0.0000 4.2214 6.3321
Cr 4.2214 2.1107 8.4428
Cr 2.1107 8.4428 4.2214
Cr 2.1107 0.0000 12.6642
Cr 0.0000 12.6642 2.1107
Cr -4.2214 6.3321 8.4428
Te 2.5137 -0.4533 1.0364
Te 10.1506 5.2578 -4.6747
Te 7.9895 -1.0364 2.5137
Te 13.1176 -1.7077 3.1850
Te 10.9565 0.4533 1.0364
Te 10.1506 -3.1850 4.6747
Te 1.0364 2.5137 -0.4533
Te 11.6278 3.7681 -1.7077
Te 5.2578 4.6747 -1.7077
Te 7.4064 2.5137 0.4533
Te -0.4533 1.0364 2.5137
Te 4.6747 -1.7077 5.2578
Te 7.9895 7.4064 -2.5137
Te 4.6747 1.7077 3.1850
Te 7.4064 -2.5137 7.9895
Te 5.2578 -4.6747 10.1506
Te 3.1850 4.6747 1.7077
Te 9.4792 5.9291 0.4533
Te 2.5137 7.9895 -1.0364
Te 10.1506 3.1850 3.7681
Te 4.6747 10.1506 -3.1850
Te 7.9895 1.0364 5.9291
Te 1.7077 3.1850 4.6747
Te 2.5137 0.4533 7.4064
Te 5.9291 7.9895 1.0364
Te 6.7351 5.2578 3.7681
Te 0.4533 7.4064 2.5137
Te 3.7681 -1.7077 11.6278
Te -1.7077 5.2578 4.6747
Te 5.9291 0.4533 9.4792
Te -1.0364 2.5137 7.9895
Te 5.2578 3.7681 6.7351
Te 3.1850 13.1176 -1.7077
Te 1.0364 10.9565 0.4533
Te 3.7681 6.7351 5.2578
Te 0.4533 1.0364 10.9565
Te 3.7681 10.1506 3.1850
Te 8.8962 7.4064 5.9291
Te 1.0364 5.9291 7.9895
Te 3.1850 3.7681 10.1506
Te -3.1850 4.6747 10.1506
Te 7.4064 5.9291 8.8962
Te -1.7077 11.6278 3.7681
Te -2.5137 7.9895 7.4064
Te -4.6747 10.1506 5.2578
Te 0.4533 9.4792 5.9291
Te -1.7077 3.1850 13.1176
Te 5.9291 8.8962 7.4064
```

***

The following is a DFT calculation (PBE) of an optimized crystal structure of ZnCrCd2.

The electronic total energy comes out at -11.77 eV/f.u. Its density of states at the Fermi level is 1.96 states/eV/cell. The magnetic moment comes out at 3.8 μB per formula unit.

extended XYZ file:
```
4
Lattice="4.2098 0.0000 0.0000 0.0000 4.2098 0.0000 0.0000 0.0000 4.1674" Properties=species:S:1:pos:R:3 pbc="T T T"
Zn 0.0000 0.0000 0.0000
Cr 2.1049 2.1049 0.0000
Cd 0.0000 2.1049 2.0837
Cd 2.1049 0.0000 2.0837
```

***

The following is a DFT calculation (PBE) of an optimized crystal structure of SmErGeSe.

The electronic total energy comes out at -22.89 eV/f.u. Its density of states at the Fermi level is 1.14 states/eV/cell. The formation energy without anion corrections is -1377 meV per atom. The magnetic moment comes out at 0.0 μB per formula unit.

extended XYZ file:
```
4
Lattice="2.0779 1.1997 6.8324 -2.0779 1.1997 6.8324 0.0000 -2.3994 6.8324" Properties=species:S:1:pos:R:3 pbc="T T T"
Sm 0.0000 0.0000 0.0000
Er 0.0000 0.0000 10.4142
Ge 0.0000 0.0000 5.1589
Se 0.0000 0.0000 15.5224
```

***

The following is a DFT calculation (PBE) of an optimized crystal structure of KCa2Y.

The electronic total energy comes out at -10.95 eV/f.u. Its density of states at the Fermi level is 5.34 states/eV/cell. As for the energy above the most stable polymorph in this dataset: 0.000 eV per atom. The magnetic moment comes out at 0.8 μB per formula unit.

extended XYZ file:
```
4
Lattice="3.8367 0.0000 0.0000 0.0000 3.8367 0.0000 0.0000 0.0000 12.0109" Properties=species:S:1:pos:R:3 pbc="T T T"
K 0.0000 0.0000 0.0000
Ca 1.9183 1.9183 3.4780
Ca 1.9183 1.9183 8.5330
Y 0.0000 0.0000 6.0055
```

***

The following is a DFT calculation (PBE) of an optimized crystal structure of HfIr2F.

The electronic total energy comes out at -31.35 eV/f.u. Its density of states at the Fermi level is 7.81 states/eV/cell. The formation energy without anion corrections is -451 meV per atom. As for the energy above the most stable polymorph in this dataset: 0.000 eV per atom. The magnetic moment comes out at 0.0 μB per formula unit.

extended XYZ file:
```
8
Lattice="-1.7943 1.7943 9.9472 1.7943 -1.7943 9.9472 1.7943 1.7943 -9.9472" Properties=species:S:1:pos:R:3 pbc="T T T"
Hf 0.0000 0.0000 0.0000
Hf 0.0000 1.7943 4.9736
Ir 0.8971 -0.8704 7.4604
Ir 0.9238 0.8971 2.4868
Ir 0.8971 2.6647 -2.4868
Ir 0.8704 0.8971 12.4340
F 1.7943 0.0000 4.9736
F 0.0000 0.0000 9.9472
```

***

The following is a DFT calculation (PBE) of an optimized crystal structure of Y3BiSb2.

The electronic total energy comes out at -37.97 eV/f.u. Its density of states at the Fermi level is 1.22 states/eV/cell. The formation energy without anion corrections is -1075 meV per atom. The magnetic moment comes out at 0.0 μB per formula unit.

extended XYZ file:
```
6
Lattice="-2.2090 3.1252 6.6349 2.2090 -3.1252 6.6349 2.2090 3.1252 -6.6349" Properties=species:S:1:pos:R:3 pbc="T T T"
Y 0.0000 0.0000 0.0000
Y 0.0000 0.0000 4.3695
Y 0.0000 0.0000 8.9003
Bi 0.0000 3.1252 0.0000
Sb 2.2090 0.0000 2.1950
Sb 0.0000 3.1252 4.4399
```

***

The following is a DFT calculation (PBE) of an optimized crystal structure of NdYThIn.

The electronic total energy comes out at -21.56 eV/f.u. Its density of states at the Fermi level is 6.79 states/eV/cell. The magnetic moment comes out at 0.0 μB per formula unit.

extended XYZ file:
```
4
Lattice="0.0000 3.9096 3.9096 3.9096 0.0000 3.9096 3.9096 3.9096 0.0000" Properties=species:S:1:pos:R:3 pbc="T T T"
Nd 0.0000 0.0000 0.0000
Y 3.9096 3.9096 3.9096
Th 5.8645 5.8645 5.8645
In 1.9548 1.9548 1.9548
```

***

The following is a DFT calculation (PBE) of an optimized crystal structure of Cs2HfCuCl6.

The electronic total energy comes out at -41.73 eV/f.u. Its density of states at the Fermi level is 7.34 states/eV/cell. The formation energy without anion corrections is -1489 meV per atom. The magnetic moment comes out at 1.0 μB per formula unit.

extended XYZ file:
```
10
Lattice="-3.5633 3.5633 5.5653 3.5633 -3.5633 5.5653 3.5633 3.5633 -5.5653" Properties=species:S:1:pos:R:3 pbc="T T T"
Cs 3.5633 0.0000 2.7826
Cs 0.0000 3.5633 2.7826
Hf 0.0000 0.0000 0.0000
Cu 0.0000 0.0000 5.5653
Cl 0.0000 0.0000 2.5184
Cl 1.8026 1.8026 0.0000
Cl 1.7607 -1.7607 5.5653
Cl -1.7607 1.7607 5.5653
Cl 1.7607 1.7607 5.5653
Cl 0.0000 0.0000 8.6122
```

***

The following is a DFT calculation (PBE) of an optimized crystal structure of LaDyEr3Sc.

The electronic total energy comes out at -29.24 eV/f.u. Its density of states at the Fermi level is 19.46 states/eV/cell. The magnetic moment comes out at 0.0 μB per formula unit.

extended XYZ file:
```
12
Lattice="2.4840 -7.4428 0.0000 2.4840 7.4428 0.0000 0.0000 0.0000 9.9907" Properties=species:S:1:pos:R:3 pbc="T T T"
La 2.4840 7.4027 7.4930
La 2.4840 -7.4027 2.4977
Dy 2.4840 0.0000 0.0000
Dy 2.4840 0.0000 4.9954
Er 2.4840 4.9271 0.0083
Er 2.4840 4.9271 4.9871
Er 2.4840 2.5516 7.4930
Er 2.4840 -2.5516 2.4977
Er 2.4840 -4.9271 5.0036
Er 2.4840 -4.9271 9.9824
Sc 2.4840 2.5295 2.4977
Sc 2.4840 -2.5295 7.4930
```